Mg3V6Cd2Cu3PbO24 (GGA+U, relaxed); DFT total energy = -6.505 eV/atom; total magnetic moment = 0.94 μB/cell
1.0
7.083 0.000 0.000
-2.370 8.674 0.000
-2.492 -0.982 8.585
Mg V Cd Cu Pb O
3 6 2 3 1 24
Direct
0.000 0.000 0.000 Mg
0.246 0.749 0.113 Mg
0.510 0.327 0.687 Mg
0.001 0.261 0.710 V
0.249 0.504 0.405 V
0.381 0.101 0.339 V
0.499 0.031 0.933 V
0.760 0.727 0.189 V
0.874 0.659 0.775 V
0.378 0.645 0.794 Cd
0.875 0.130 0.306 Cd
0.376 0.895 0.542 Cu
0.775 0.451 0.449 Cu
0.873 0.874 0.570 Cu
0.384 0.378 0.082 Pb
0.016 0.377 0.405 O
0.018 0.201 0.890 O
0.101 0.632 0.887 O
0.162 0.138 0.218 O
0.241 0.547 0.216 O
0.248 0.379 0.730 O
0.303 0.972 0.021 O
0.306 0.674 0.533 O
0.371 0.902 0.322 O
0.396 0.117 0.539 O
0.436 0.903 0.763 O
0.437 0.412 0.468 O
0.511 0.703 0.063 O
0.515 0.216 0.886 O
0.592 0.222 0.299 O
0.654 0.550 0.810 O
0.739 0.025 0.054 O
0.740 0.544 0.252 O
0.809 0.362 0.652 O
0.822 0.868 0.349 O
0.852 0.655 0.569 O
0.887 0.860 0.787 O
0.932 0.095 0.574 O
0.952 0.781 0.096 O